The following is a GGA-PBE calculation of a geometry-optimized HgPtO2 structure, from Alexandria via LeMat-Bulk.

Cell and atoms, written as POSCAR:
```
HgPtO2
1.0
3.1988 0.0000 0.0000
-1.5994 2.7702 0.0000
0.0000 0.0000 23.5354
Hg Pt O
3 3 6
direct
0.0000 0.0000 0.0000
0.3333 0.6667 0.6667
0.6667 0.3333 0.3333
0.0000 0.0000 0.5000
0.3333 0.6667 0.1667
0.6667 0.3333 0.8333
0.0000 0.0000 0.1265
0.0000 0.0000 0.8735
0.3333 0.6667 0.5402
0.3333 0.6667 0.7932
0.6667 0.3333 0.2068
0.6667 0.3333 0.4598
```

Formation energy (no corrections): -1.4 eV/f.u.
Space-group type: R-3m, No. 166
Crystal system: trigonal

***

The following is a GGA-PBE calculation of a geometry-optimized Tl5SnTe6 structure, from Alexandria via LeMat-Bulk.

Cell and atoms, written as POSCAR:
```
Tl5SnTe6
1.0
3.9858 -6.7406 0.0000
3.9858 6.7406 0.0000
-3.0466 0.0000 7.4879
Tl Sn Te
5 1 6
direct
0.0000 0.0000 0.0000
0.1662 0.8338 0.5000
0.3297 0.6703 0.0000
0.6703 0.3297 0.0000
0.8338 0.1662 0.5000
0.5000 0.5000 0.5000
0.0968 0.4169 0.2577
0.2617 0.2617 0.7401
0.4169 0.0968 0.2577
0.5831 0.9032 0.7423
0.7383 0.7383 0.2599
0.9032 0.5831 0.7423
```

Formation energy (no corrections): -2.3 eV/f.u.
Space-group type: C2/m, No. 12
Crystal system: monoclinic

***

The following is a GGA-PBE calculation of a geometry-optimized La2Tm5Th2 structure, from Alexandria via LeMat-Bulk.

Cell and atoms, written as POSCAR:
```
La2Tm5Th2
1.0
11.1019 -1.7396 0.0000
11.1019 1.7396 0.0000
-1.3266 0.0000 8.0340
La Tm Th
2 5 2
direct
0.1766 0.1766 0.1442
0.8234 0.8234 0.8558
0.0000 0.0000 0.0000
0.0904 0.0904 0.7228
0.3078 0.3078 0.4547
0.6922 0.6922 0.5453
0.9096 0.9096 0.2772
0.4490 0.4490 0.6490
0.5510 0.5510 0.3510
```

Energy relative to the elements: 0.23 eV per atom
Space-group type: C2/m, No. 12
Crystal system: monoclinic

***

The following is a GGA-PBE calculation of a geometry-optimized SrEuAl2 structure, from Alexandria via LeMat-Bulk.

Cell and atoms, written as POSCAR:
```
SrEuAl2
1.0
3.7719 0.0000 0.0000
-1.8860 3.2666 0.0000
0.0000 0.0000 30.3770
Sr Eu Al
3 3 6
direct
0.0000 0.0000 0.0000
0.3333 0.6667 0.6667
0.6667 0.3333 0.3333
0.0000 0.0000 0.5000
0.3333 0.6667 0.1667
0.6667 0.3333 0.8333
0.0000 0.0000 0.2480
0.0000 0.0000 0.7520
0.3333 0.6667 0.4186
0.3333 0.6667 0.9147
0.6667 0.3333 0.0853
0.6667 0.3333 0.5814
```

Energy relative to the elements: 0.12 eV per atom
Space-group type: R-3m, No. 166
Crystal system: trigonal
Energy relative to the lowest polymorph listed for this composition: 271 meV/atom

***

The following is a GGA-PBE calculation of a geometry-optimized Ba3Cd8 structure, from Alexandria via LeMat-Bulk.

Cell and atoms, written as POSCAR:
```
Ba3Cd8
1.0
-2.2999 2.5143 15.3643
2.2999 -2.5143 15.3643
2.2999 2.5143 -15.3643
Ba Cd
3 8
direct
0.0000 0.0000 0.0000
0.3510 0.8510 0.5000
0.6490 0.1490 0.5000
0.0974 0.5974 0.5000
0.1930 0.6930 0.5000
0.2525 0.2525 0.0000
0.4511 0.4511 0.0000
0.5489 0.5489 0.0000
0.7475 0.7475 0.0000
0.8070 0.3070 0.5000
0.9026 0.4026 0.5000
```

Energy relative to the elements: -0.30 eV per atom
Space-group type: Immm, No. 71
Crystal system: orthorhombic

***

The following is a GGA-PBE calculation of a geometry-optimized LiLaZn10 structure, from Alexandria via LeMat-Bulk.

Cell and atoms, written as POSCAR:
```
LiLaZn10
1.0
4.3758 0.0000 0.0000
0.0000 5.1161 0.0000
0.0000 0.0000 9.4005
Li La Zn
1 1 10
direct
0.0000 0.0000 0.0000
0.0000 0.5000 0.5000
0.0000 0.0000 0.2945
0.0000 0.0000 0.7055
0.0000 0.5000 0.1487
0.0000 0.5000 0.8513
0.5000 0.0000 0.5000
0.5000 0.2561 0.2572
0.5000 0.2561 0.7428
0.5000 0.5000 0.0000
0.5000 0.7439 0.2572
0.5000 0.7439 0.7428
```

Energy relative to the elements: -0.18 eV per atom
Space-group type: Pmmm, No. 47
Crystal system: orthorhombic

***

The following is a GGA-PBE calculation of a geometry-optimized K2TlI structure, from Alexandria via LeMat-Bulk.

Cell and atoms, written as POSCAR:
```
K2TlI
1.0
9.6985 0.0000 0.0000
0.0000 9.6985 0.0000
0.0000 0.0000 8.0083
K Tl I
8 4 4
direct
0.2268 0.7500 0.1250
0.2500 0.2268 0.8750
0.2500 0.2732 0.3750
0.2732 0.7500 0.6250
0.7268 0.2500 0.6250
0.7500 0.7268 0.3750
0.7500 0.7732 0.8750
0.7732 0.2500 0.1250
0.0000 0.0000 0.5000
0.0000 0.5000 0.7500
0.5000 0.0000 0.2500
0.5000 0.5000 0.0000
0.0000 0.0000 0.0000
0.0000 0.5000 0.2500
0.5000 0.0000 0.7500
0.5000 0.5000 0.5000
```

Formation energy (no corrections): -2.0 eV/f.u.
Space-group type: I-42d, No. 122
Crystal system: tetragonal
Energy relative to the lowest polymorph listed for this composition: 147 meV/atom

***

The following is a GGA-PBE calculation of a geometry-optimized TbCe2Ir2 structure, from Alexandria via LeMat-Bulk.

Cell and atoms, written as POSCAR:
```
TbCe2Ir2
1.0
5.2540 0.0000 0.0000
0.0000 7.3740 0.0000
0.0000 0.0000 5.8372
Tb Ce Ir
2 4 4
direct
0.0000 0.0000 0.0000
0.5000 0.5000 0.0000
0.0000 0.1909 0.5000
0.0000 0.8091 0.5000
0.5000 0.3091 0.5000
0.5000 0.6909 0.5000
0.0000 0.5000 0.2381
0.0000 0.5000 0.7619
0.5000 0.0000 0.2381
0.5000 0.0000 0.7619
```

Energy relative to the elements: -0.26 eV per atom
Space-group type: Cmmm, No. 65
Crystal system: orthorhombic
Energy relative to the lowest polymorph listed for this composition: 417 meV/atom

***

The following is a GGA-PBE calculation of a geometry-optimized KTcO3 structure, from Alexandria via LeMat-Bulk.

Cell and atoms, written as POSCAR:
```
KTcO3
1.0
7.3024 -2.0398 0.0000
7.3024 2.0398 0.0000
-3.2048 0.0000 6.1325
K Tc O
2 2 6
direct
0.1044 0.1044 0.4235
0.8956 0.8956 0.5765
0.3324 0.3324 0.9998
0.6676 0.6676 0.0002
0.1975 0.1975 0.9989
0.3217 0.3217 0.7335
0.4416 0.4416 0.2598
0.5584 0.5584 0.7402
0.6783 0.6783 0.2665
0.8025 0.8025 0.0011
```

Formation energy (no corrections): -7.5 eV/f.u.
Space-group type: C2/m, No. 12
Crystal system: monoclinic

***

The following is a GGA-PBE calculation of a geometry-optimized PuTlCdPb structure, from Alexandria via LeMat-Bulk.

Cell and atoms, written as POSCAR:
```
PuTlCdPb
1.0
7.5978 0.0000 0.0000
0.0000 7.5978 0.0000
0.0000 0.0000 7.5978
Pu Tl Cd Pb
4 4 4 4
direct
0.0000 0.0000 0.0000
0.0000 0.5000 0.5000
0.5000 0.0000 0.5000
0.5000 0.5000 0.0000
0.2500 0.2500 0.7500
0.2500 0.7500 0.2500
0.7500 0.2500 0.2500
0.7500 0.7500 0.7500
0.0000 0.0000 0.5000
0.0000 0.5000 0.0000
0.5000 0.0000 0.0000
0.5000 0.5000 0.5000
0.2500 0.2500 0.2500
0.2500 0.7500 0.7500
0.7500 0.2500 0.7500
0.7500 0.7500 0.2500
```

Energy relative to the elements: 0.00 eV per atom
Space-group type: F-43m, No. 216
Crystal system: cubic
Energy relative to the lowest polymorph listed for this composition: 90 meV/atom

***

The following is a GGA-PBE calculation of a geometry-optimized Ce2HoPaTc2 structure, from Alexandria via LeMat-Bulk.

Cell and atoms, written as POSCAR:
```
Ce2HoPaTc2
1.0
4.2193 0.0000 0.0000
0.0000 9.5563 0.0000
0.0000 0.0000 7.0141
Ce Ho Pa Tc
4 2 2 4
direct
0.0000 0.0815 0.0000
0.0000 0.9185 0.5000
0.5000 0.1620 0.2580
0.5000 0.8380 0.7580
0.5000 0.4396 0.9525
0.5000 0.5604 0.4525
0.0000 0.2943 0.5948
0.0000 0.7057 0.0948
0.0000 0.3776 0.2652
0.0000 0.6224 0.7652
0.5000 0.1668 0.7264
0.5000 0.8332 0.2264
```

Energy relative to the elements: -0.12 eV per atom
Space-group type: Pmc2_1, No. 26
Crystal system: orthorhombic

***

The following is a GGA-PBE calculation of a geometry-optimized Pr5Er2Tl4 structure, from Alexandria via LeMat-Bulk.

Cell and atoms, written as POSCAR:
```
Pr5Er2Tl4
1.0
12.3616 -1.7665 0.0000
12.3616 1.7665 0.0000
-0.4210 0.0000 8.1947
Pr Er Tl
5 2 4
direct
0.0000 0.0000 0.0000
0.2669 0.2669 0.2203
0.3589 0.3589 0.8795
0.6411 0.6411 0.1205
0.7331 0.7331 0.7797
0.4107 0.4107 0.2833
0.5893 0.5893 0.7167
0.1625 0.1625 0.4706
0.4619 0.4619 0.6471
0.5381 0.5381 0.3529
0.8375 0.8375 0.5294
```

Energy relative to the elements: -0.04 eV per atom
Space-group type: C2/m, No. 12
Crystal system: monoclinic

***

| no. | electronic total energy (eV/atom) | size of the total moment (μB/f.u.) | V (A^3/atom) |
| --- | --- | --- | --- |
| 1 | -4.403 | 0.000 | 17.38 |
| 2 | -3.078 | 0.000 | 33.53 |
| 3 | -4.994 | 0.000 | 34.48 |
| 4 | -4.743 | 7.344 | 31.19 |
| 5 | -1.489 | 0.000 | 32.31 |
| 6 | -1.815 | 0.000 | 17.54 |
| 7 | -2.028 | 0.000 | 47.08 |
| 8 | -7.106 | 0.000 | 22.61 |
| 9 | -6.768 | 0.000 | 18.27 |
| 10 | -5.333 | 5.689 | 27.41 |
| 11 | -7.896 | 0.002 | 23.57 |
| 12 | -3.904 | 0.000 | 32.54 |